# Na2CdSn2 (GGA-PBE, optimized geometry)
# Calculated density: 4922 kg/m³
# Energy of formation from the pure elements: -0.120 eV/atom
# Polymorph energy (0 for the lowest one): 12 meV/atom
# Uncorrected energy: -12.16 eV per formula unit
data_Na2CdSn2
_symmetry_space_group_name_H-M 'P 1 2/m 1'
_symmetry_Int_Tables_number 10
_cell_length_a 5.2322
_cell_length_b 3.2365
_cell_length_c 8.2739
_cell_angle_alpha 90.00
_cell_angle_beta 107.61
_cell_angle_gamma 90.00
loop_
_symmetry_equiv_pos_as_xyz
'x,y,z'
'-x,-y,-z'
'-x,y,-z'
'x,-y,z'
loop_
_atom_site_label
_atom_site_fract_x
_atom_site_fract_y
_atom_site_fract_z
Na1 0.1087 0.0000 0.2151
Cd1 0.5000 0.5000 0.0000
Sn1 0.3040 0.5000 0.6088

---

# TlTc2As (GGA-PBE, optimized geometry)
# Calculated density: 11586 kg/m³
# Energy of formation from the pure elements: 0.397 eV/atom
# Polymorph energy (0 for the lowest one): 220 meV/atom
# Uncorrected energy: -26.16 eV per formula unit
data_TlTc2As
_symmetry_space_group_name_H-M 'R -3 m'
_symmetry_Int_Tables_number 166
_symmetry_space_group_name_Hall '-R 3 2"'
_cell_length_a 3.0618
_cell_length_b 3.0618
_cell_length_c 25.1714
_cell_angle_alpha 90.00
_cell_angle_beta 90.00
_cell_angle_gamma 120.00
loop_
_atom_site_label
_atom_site_fract_x
_atom_site_fract_y
_atom_site_fract_z
Tl1 0.0000 0.0000 0.0000
Tc1 0.0000 0.0000 0.2394
As1 0.0000 0.0000 0.5000

---

# LaMg2CdAu2 (GGA-PBE, optimized geometry)
# Calculated density: 8454 kg/m³
# Energy of formation from the pure elements: -0.572 eV/atom
# Uncorrected energy: -19.02 eV per formula unit
data_LaMg2CdAu2
_symmetry_space_group_name_H-M 'P -3 m 1'
_symmetry_Int_Tables_number 164
_symmetry_space_group_name_Hall '-P 3 2"'
_cell_length_a 4.7360
_cell_length_b 4.7360
_cell_length_c 7.0158
_cell_angle_alpha 90.00
_cell_angle_beta 90.00
_cell_angle_gamma 120.00
loop_
_atom_site_label
_atom_site_fract_x
_atom_site_fract_y
_atom_site_fract_z
La1 0.0000 0.0000 0.0000
Mg1 0.3333 0.6667 0.6676
Cd1 0.0000 0.0000 0.5000
Au1 0.3333 0.6667 0.2546

---

# SrPm2PrSe4 (GGA-PBE, optimized geometry)
# Energy relative to the elements, uncorrected: -1.872 eV per atom
# Calculated density: 6317 kg/m³
# Uncorrected energy: -44.88 eV per formula unit
data_SrPm2PrSe4
_symmetry_space_group_name_H-M 'P 1 2/m 1'
_symmetry_Int_Tables_number 10
_cell_length_a 7.3960
_cell_length_b 4.2375
_cell_length_c 7.4035
_cell_angle_alpha 90.00
_cell_angle_beta 109.05
_cell_angle_gamma 90.00
loop_
_symmetry_equiv_pos_as_xyz
'x,y,z'
'-x,-y,-z'
'-x,y,-z'
'x,-y,z'
loop_
_atom_site_label
_atom_site_fract_x
_atom_site_fract_y
_atom_site_fract_z
Sr1 0.0000 0.0000 0.0000
Pm1 0.5000 0.0000 0.5000
Pm2 0.5000 0.5000 0.0000
Pr1 0.0000 0.5000 0.5000
Se1 0.2564 0.0000 0.7515
Se2 0.2583 0.5000 0.2543

---

# ErGa2Sb (GGA-PBE, optimized geometry)
# Energy relative to the elements, uncorrected: -0.480 eV per atom
# Calculated density: 8077 kg/m³
# Uncorrected energy: -16.66 eV per formula unit
data_ErGa2Sb
_symmetry_space_group_name_H-M 'P 4/m m m'
_symmetry_Int_Tables_number 123
_symmetry_space_group_name_Hall '-P 4 2'
_cell_length_a 4.5138
_cell_length_b 4.5138
_cell_length_c 4.3235
_cell_angle_alpha 90.00
_cell_angle_beta 90.00
_cell_angle_gamma 90.00
loop_
_atom_site_label
_atom_site_fract_x
_atom_site_fract_y
_atom_site_fract_z
Er1 0.0000 0.0000 0.0000
Ga1 0.0000 0.5000 0.5000
Sb1 0.5000 0.5000 0.0000

---

# Th4B (GGA-PBE, optimized geometry)
# Calculated density: 10693 kg/m³
# Energy of formation from the pure elements: 0.091 eV/atom
# Uncorrected energy: -35.90 eV per formula unit
data_Th4B
_symmetry_space_group_name_H-M 'P m -3 m'
_symmetry_Int_Tables_number 221
_symmetry_space_group_name_Hall '-P 4 2 3'
_cell_length_a 5.2635
_cell_length_b 5.2635
_cell_length_c 5.2635
_cell_angle_alpha 90.00
_cell_angle_beta 90.00
_cell_angle_gamma 90.00
loop_
_atom_site_label
_atom_site_fract_x
_atom_site_fract_y
_atom_site_fract_z
Th1 0.0000 0.0000 0.0000
Th2 0.0000 0.5000 0.5000
B1 0.5000 0.5000 0.5000

---

# SrSc2Cd3 (GGA-PBE, optimized geometry)
# Calculated density: 5641 kg/m³
# Energy of formation from the pure elements: -0.275 eV/atom
# Uncorrected energy: -18.74 eV per formula unit
data_SrSc2Cd3
_symmetry_space_group_name_H-M 'P 4/m m m'
_symmetry_Int_Tables_number 123
_symmetry_space_group_name_Hall '-P 4 2'
_cell_length_a 3.6689
_cell_length_b 3.6689
_cell_length_c 11.2562
_cell_angle_alpha 90.00
_cell_angle_beta 90.00
_cell_angle_gamma 90.00
loop_
_atom_site_label
_atom_site_fract_x
_atom_site_fract_y
_atom_site_fract_z
Sr1 0.0000 0.0000 0.0000
Sc1 0.0000 0.0000 0.3483
Cd1 0.5000 0.5000 0.2058
Cd2 0.5000 0.5000 0.5000

---

# CeLuZnRu (GGA-PBE, optimized geometry)
# Calculated density: 9585 kg/m³
# Energy of formation from the pure elements: -0.340 eV/atom
# Uncorrected energy: -22.36 eV per formula unit
data_CeLuZnRu
_symmetry_space_group_name_H-M 'F -4 3 m'
_symmetry_Int_Tables_number 216
_symmetry_space_group_name_Hall 'F -4 2 3'
_cell_length_a 6.9363
_cell_length_b 6.9363
_cell_length_c 6.9363
_cell_angle_alpha 90.00
_cell_angle_beta 90.00
_cell_angle_gamma 90.00
loop_
_atom_site_label
_atom_site_fract_x
_atom_site_fract_y
_atom_site_fract_z
Ce1 0.0000 0.0000 0.0000
Lu1 0.0000 0.0000 0.5000
Zn1 0.2500 0.2500 0.2500
Ru1 0.2500 0.2500 0.7500

---

M_tot (Bohr magnetons per cell)
0.00 1.77 0.00 0.00 0.00 0.00 0.00 0.00
Calculated volume (A^3/atom)
26.71 17.03 22.71 27.41 22.02 29.16 25.25 20.86